1.
# PBE-GGA FePI2Cl, relaxed
data_FePI2Cl
_chemical_formula_sum 'Fe1 P1 I2 Cl1'
_space_group_name_H-M_alt 'P 4/m m m'
_space_group_IT_number 123
_space_group_name_Hall '-P 4 2'
_cell_length_a 5.6098
_cell_length_b 5.6098
_cell_length_c 4.4852
_cell_angle_alpha 90.00
_cell_angle_beta 90.00
_cell_angle_gamma 90.00
loop_
_atom_site_label
_atom_site_type_symbol
_atom_site_fract_x
_atom_site_fract_y
_atom_site_fract_z
_atom_site_occupancy
Fe1 Fe 0.0000 0.0000 0.0000 1
P1 P 0.0000 0.0000 0.5000 1
I1 I 0.0000 0.5000 0.5000 1
Cl1 Cl 0.5000 0.5000 0.0000 1
# * crystal system: tetragonal

=====

2.
# PBE-GGA NiGeBi2, relaxed
data_NiGeBi2
_chemical_formula_sum 'Ni3 Ge3 Bi6'
_space_group_name_H-M_alt 'R -3 m'
_space_group_IT_number 166
_space_group_name_Hall '-R 3 2"'
_cell_length_a 3.4518
_cell_length_b 3.4518
_cell_length_c 29.2459
_cell_angle_alpha 90.00
_cell_angle_beta 90.00
_cell_angle_gamma 120.00
loop_
_atom_site_label
_atom_site_type_symbol
_atom_site_fract_x
_atom_site_fract_y
_atom_site_fract_z
_atom_site_occupancy
Ni1 Ni 0.0000 0.0000 0.0000 1
Ge1 Ge 0.0000 0.0000 0.5000 1
Bi1 Bi 0.0000 0.0000 0.3958 1
# * calculated formation energy: 0.2930 eV/atom
# * crystal system: trigonal

=====

3.
# PBE-GGA YS8I2, relaxed
data_YS8I2
_chemical_formula_sum 'Y2 S16 I4'
_space_group_name_H-M_alt 'C 1 2/m 1'
_space_group_IT_number 12
_cell_length_a 16.0278
_cell_length_b 6.1325
_cell_length_c 11.7333
_cell_angle_alpha 90.00
_cell_angle_beta 132.77
_cell_angle_gamma 90.00
loop_
_space_group_symop_operation_xyz
'x,y,z'
'-x,-y,-z'
'-x,y,-z'
'x,-y,z'
'x+1/2,y+1/2,z'
'-x+1/2,-y+1/2,-z'
'-x+1/2,y+1/2,-z'
'x+1/2,-y+1/2,z'
loop_
_atom_site_label
_atom_site_type_symbol
_atom_site_fract_x
_atom_site_fract_y
_atom_site_fract_z
_atom_site_occupancy
Y1 Y 0.0000 0.0000 0.0000 1
S1 S 0.0215 0.5000 0.8371 1
S2 S 0.1193 0.2607 0.2691 1
S3 S 0.2198 0.5000 0.2775 1
I1 I 0.1260 0.0000 0.8985 1
# * crystal system: monoclinic

=====

Calculated electronic total energy, -3.28, -4.25, -3.96 eV/atom (same order as the records).